(1)
# GGA-PBE AlCd2Hg, optimized geometry
# Volume (Å³/f.u.): 87.1
# Energy (Ha/atom): -0.05043
# Fermi-level density of states (states/eV/f.u.): 1.08
# M_tot (μB/f.u.): 0.0
data_AlCd2Hg
_chemical_formula_sum 'Al1 Cd2 Hg1'
_cell_length_a 3.136
_cell_length_b 3.136
_cell_length_c 8.854
_cell_angle_alpha 90.00
_cell_angle_beta 90.00
_cell_angle_gamma 90.00
_space_group_name_H-M_alt 'P 1'
_space_group_IT_number 1
_space_group_name_Hall 'P 1'
loop_
_atom_site_label
_atom_site_type_symbol
_atom_site_fract_x
_atom_site_fract_y
_atom_site_fract_z
Al1 Al 0.000 0.000 0.000
Cd1 Cd 0.500 0.500 0.233
Cd2 Cd 0.500 0.500 0.767
Hg1 Hg 0.000 0.000 0.500



(2)
# GGA-PBE AlCd3Hg6, optimized geometry
# Volume (Å³/f.u.): 248.4
# Energy (Ha/atom): -0.02841
# Fermi-level density of states (states/eV/f.u.): 2.80
# M_tot (μB/f.u.): 0.0
data_AlCd3Hg6
_chemical_formula_sum 'Al2 Cd6 Hg12'
_cell_length_a 4.975
_cell_length_b 9.015
_cell_length_c 11.259
_cell_angle_alpha 90.10
_cell_angle_beta 90.27
_cell_angle_gamma 100.23
_space_group_name_H-M_alt 'P 1'
_space_group_IT_number 1
_space_group_name_Hall 'P 1'
loop_
_atom_site_label
_atom_site_type_symbol
_atom_site_fract_x
_atom_site_fract_y
_atom_site_fract_z
Al1 Al 0.000 0.000 0.000
Al2 Al 0.500 0.500 0.500
Cd1 Cd 0.000 0.000 0.500
Cd2 Cd 0.028 0.607 0.852
Cd3 Cd 0.466 0.897 0.354
Cd4 Cd 0.500 0.500 0.000
Cd5 Cd 0.534 0.103 0.646
Cd6 Cd 0.972 0.393 0.148
Hg1 Hg 0.003 0.742 0.146
Hg2 Hg 0.011 0.668 0.458
Hg3 Hg 0.031 0.926 0.760
Hg4 Hg 0.472 0.581 0.261
Hg5 Hg 0.489 0.833 0.956
Hg6 Hg 0.498 0.754 0.651
Hg7 Hg 0.502 0.246 0.349
Hg8 Hg 0.511 0.167 0.044
Hg9 Hg 0.528 0.419 0.739
Hg10 Hg 0.969 0.074 0.240
Hg11 Hg 0.989 0.332 0.542
Hg12 Hg 0.997 0.258 0.854



(3)
# GGA-PBE AlCd2Hg, optimized geometry
# Volume (Å³/f.u.): 96.6
# Energy (Ha/atom): -0.04757
# Fermi-level density of states (states/eV/f.u.): 1.64
# M_tot (μB/f.u.): 0.0
data_AlCd2Hg
_chemical_formula_sum 'Al2 Cd4 Hg2'
_cell_length_a 6.480
_cell_length_b 6.480
_cell_length_c 6.480
_cell_angle_alpha 101.18
_cell_angle_beta 101.18
_cell_angle_gamma 127.76
_space_group_name_H-M_alt 'P 1'
_space_group_IT_number 1
_space_group_name_Hall 'P 1'
loop_
_atom_site_label
_atom_site_type_symbol
_atom_site_fract_x
_atom_site_fract_y
_atom_site_fract_z
Al1 Al 0.000 0.000 0.000
Al2 Al 0.750 0.250 0.500
Cd1 Cd 0.102 0.625 0.977
Cd2 Cd 0.375 0.352 0.477
Cd3 Cd 0.648 0.125 0.023
Cd4 Cd 0.875 0.898 0.523
Hg1 Hg 0.250 0.750 0.500
Hg2 Hg 0.500 0.500 0.000